1.
A plane-wave DFT calculation with PBE was carried out for an optimized crystal structure of Zr2B6Pd.

Computed properties:
For the mass density, the calculation gives 6.506 Mg/m³. The value obtained for the raw total energy is -7.516 eV/atom.

Cell lengths 9.019, 11.386, 3.517 Å; angles 90.00, 90.00, 90.00 degrees
Sites, in units of the cell vectors:
Zr 0.054 0.130 0.000
Zr 0.180 0.411 0.000
Zr 0.320 0.911 0.000
Zr 0.446 0.630 0.000
Zr 0.554 0.370 0.000
Zr 0.680 0.089 0.000
Zr 0.820 0.589 0.000
Zr 0.946 0.870 0.000
B 0.020 0.288 0.500
B 0.051 0.562 0.500
B 0.102 0.974 0.500
B 0.133 0.822 0.500
B 0.202 0.242 0.500
B 0.247 0.077 0.500
B 0.253 0.577 0.500
B 0.298 0.742 0.500
B 0.367 0.322 0.500
B 0.398 0.474 0.500
B 0.449 0.062 0.500
B 0.480 0.788 0.500
B 0.520 0.212 0.500
B 0.551 0.938 0.500
B 0.602 0.526 0.500
B 0.633 0.678 0.500
B 0.702 0.258 0.500
B 0.747 0.423 0.500
B 0.753 0.923 0.500
B 0.798 0.758 0.500
B 0.867 0.178 0.500
B 0.898 0.026 0.500
B 0.949 0.438 0.500
B 0.980 0.712 0.500
Pd 0.139 0.672 0.000
Pd 0.361 0.172 0.000
Pd 0.639 0.828 0.000
Pd 0.861 0.328 0.000

=====

2.
A plane-wave DFT calculation with PBE was carried out for an optimized crystal structure of PmB.

Computed properties:
Its energy relative to the lowest polymorph listed for this composition is 433.8 meV/atom. For the mass density, the calculation gives 5.094 Mg/m³. The value obtained for the raw total energy is -4.807 eV/atom.

Cell lengths 5.879, 5.879, 5.879 Å; angles 90.00, 90.00, 90.00 degrees
Sites, in units of the cell vectors:
Pm 0.000 0.000 0.000
Pm 0.000 0.500 0.500
Pm 0.500 0.000 0.500
Pm 0.500 0.500 0.000
B 0.250 0.250 0.250
B 0.250 0.750 0.750
B 0.750 0.250 0.750
B 0.750 0.750 0.250